(1)
Entry from Alexandria: Ba2YOs at its PBEsol-relaxed geometry (meta-GGA SCAN).

a b c (Å): 4.4894 4.4894 10.9745
angles (deg): 90.00 90.00 90.00
Space group I4/mmm (No. 139)
One atom of each set of equivalent atoms:
Ba: 0.0000 0.5000 0.2500 x4
Y: 0.0000 0.0000 0.0000 x2
Os: 0.0000 0.0000 0.5000 x2

(2)
Entry from Alexandria: BaZn2Os at its PBEsol-relaxed geometry (meta-GGA SCAN).

a b c (Å): 3.4089 3.4089 7.2919
angles (deg): 90.00 90.00 90.00
Space group P4mm (No. 99)
One atom of each set of equivalent atoms:
Ba: 0.0000 0.0000 0.0000 x1
Zn: 0.0000 0.0000 0.4273 x1
Zn: 0.5000 0.5000 0.6496 x1
Os: 0.5000 0.5000 0.3146 x1

(3)
Entry from Alexandria: BaZnOs2 at its PBEsol-relaxed geometry (meta-GGA SCAN).

a b c (Å): 4.1682 4.1682 8.4400
angles (deg): 90.00 90.00 90.00
Space group I4/mmm (No. 139)
One atom of each set of equivalent atoms:
Ba: 0.0000 0.0000 0.0000 x2
Zn: 0.0000 0.0000 0.5000 x2
Os: 0.0000 0.5000 0.2500 x4

(4)
Entry from Alexandria: BaZnOs3 at its PBEsol-relaxed geometry (meta-GGA SCAN).

a b c (Å): 4.6550 4.6550 4.6550
angles (deg): 90.00 90.00 90.00
Space group Pm-3m (No. 221)
One atom of each set of equivalent atoms:
Ba: 0.0000 0.0000 0.0000 x1
Zn: 0.5000 0.5000 0.5000 x1
Os: 0.0000 0.5000 0.5000 x3

Calculated energy of formation from the pure elements, 0.77; 0.35; 1.52; 1.84 eV per atom (same order as the records).